No. 1
BeTc2Rh | PBE | relaxed

```
data_BeTc2Rh
_cell_length_a 2.7481
_cell_length_b 2.7481
_cell_length_c 24.1706
_cell_angle_alpha 90.00
_cell_angle_beta 90.00
_cell_angle_gamma 120.00
_space_group_name_H-M_alt 'R 3 m'
_space_group_IT_number 160
_space_group_name_Hall 'R 3 -2"'
loop_
_atom_site_label
_atom_site_type_symbol
_atom_site_fract_x
_atom_site_fract_y
_atom_site_fract_z
_atom_site_occupancy
Be1 Be 0.0000 0.0000 0.0000 1
Tc1 Tc 0.0000 0.0000 0.5011 1
Tc2 Tc 0.0000 0.0000 0.7473 1
Rh1 Rh 0.0000 0.0000 0.2622 1
```

Calculated values
Magnetization in μB per atom: 0.00
Energy relative to the elements in meV per atom: -60
Raw total energy in eV per atom: -8.013
Density of states at the Fermi level in states/eV/cell: 12.8


No. 2
BeTcRh2 | PBE | relaxed

```
data_BeTcRh2
_cell_length_a 2.723
_cell_length_b 3.649
_cell_length_c 5.272
_cell_angle_alpha 90.00
_cell_angle_beta 90.31
_cell_angle_gamma 90.00
_space_group_name_H-M_alt 'P 1 2/m 1'
_space_group_IT_number 10
loop_
_space_group_symop_operation_xyz
'x,y,z'
'-x,-y,-z'
'-x,y,-z'
'x,-y,z'
loop_
_atom_site_label
_atom_site_type_symbol
_atom_site_fract_x
_atom_site_fract_y
_atom_site_fract_z
_atom_site_occupancy
Be1 Be 0.000 0.000 0.000 1
Tc1 Tc 0.000 0.000 0.500 1
Rh1 Rh 0.498 0.500 0.240 1
```

Calculated values
Magnetization in μB per atom: 0.00
Energy relative to the elements in meV per atom: -158
Raw total energy in eV per atom: -7.357
Density of states at the Fermi level in states/eV/cell: 2.8


No. 3
BeTc2Rh | PBE | relaxed

```
data_BeTc2Rh
_cell_length_a 2.948
_cell_length_b 4.134
_cell_length_c 8.517
_cell_angle_alpha 90.00
_cell_angle_beta 90.00
_cell_angle_gamma 90.00
_space_group_name_H-M_alt 'I m m m'
_space_group_IT_number 71
_space_group_name_Hall '-I 2 2'
loop_
_atom_site_label
_atom_site_type_symbol
_atom_site_fract_x
_atom_site_fract_y
_atom_site_fract_z
_atom_site_occupancy
Be1 Be 0.000 0.000 0.000 1
Tc1 Tc 0.000 0.500 0.268 1
Rh1 Rh 0.000 0.000 0.500 1
```

Calculated values
Magnetization in μB per atom: 0.00
Energy relative to the elements in meV per atom: -114
Raw total energy in eV per atom: -8.067
Density of states at the Fermi level in states/eV/cell: 4.8


No. 4
Be2Tc2Rh | PBE | relaxed

```
data_Be2Tc2Rh
_cell_length_a 6.047
_cell_length_b 6.047
_cell_length_c 3.179
_cell_angle_alpha 90.00
_cell_angle_beta 90.00
_cell_angle_gamma 90.00
_space_group_name_H-M_alt 'P 4/m b m'
_space_group_IT_number 127
_space_group_name_Hall '-P 4 2ab'
loop_
_atom_site_label
_atom_site_type_symbol
_atom_site_fract_x
_atom_site_fract_y
_atom_site_fract_z
_atom_site_occupancy
Be1 Be 0.125 0.375 0.000 1
Tc1 Tc 0.170 0.670 0.500 1
Rh1 Rh 0.000 0.000 0.000 1
```

Calculated values
Polymorph energy (0 for the lowest one) in eV per atom: 0.000
Magnetization in μB per atom: 0.00
Energy relative to the elements in meV per atom: -198
Raw total energy in eV per atom: -7.305
Density of states at the Fermi level in states/eV/cell: 12.3


No. 5
BeTcRh | PBE | relaxed

```
data_BeTcRh
_cell_length_a 3.5381
_cell_length_b 3.5381
_cell_length_c 37.2529
_cell_angle_alpha 90.00
_cell_angle_beta 90.00
_cell_angle_gamma 120.00
_space_group_name_H-M_alt 'P 63/m m c'
_space_group_IT_number 194
_space_group_name_Hall '-P 6c 2c'
loop_
_atom_site_label
_atom_site_type_symbol
_atom_site_fract_x
_atom_site_fract_y
_atom_site_fract_z
_atom_site_occupancy
Be1 Be 0.3333 0.6667 0.2500 1
Tc1 Tc 0.0000 0.0000 0.2500 1
Rh1 Rh 0.0000 0.0000 0.0000 1
```

Calculated values
Polymorph energy (0 for the lowest one) in eV per atom: 3.443
Magnetization in μB per atom: 1.36
Energy relative to the elements in meV per atom: 3133
Raw total energy in eV per atom: -4.015
Density of states at the Fermi level in states/eV/cell: 11.5


No. 6
BeTcRh2 | PBE | relaxed

```
data_BeTcRh2
_cell_length_a 2.790
_cell_length_b 4.299
_cell_length_c 8.490
_cell_angle_alpha 90.00
_cell_angle_beta 90.00
_cell_angle_gamma 90.00
_space_group_name_H-M_alt 'I m m 2'
_space_group_IT_number 44
loop_
_space_group_symop_operation_xyz
'x,y,z'
'-x,-y,z'
'-x,y,z'
'x,-y,z'
'x+1/2,y+1/2,z+1/2'
'-x+1/2,-y+1/2,z+1/2'
'-x+1/2,y+1/2,z+1/2'
'x+1/2,-y+1/2,z+1/2'
loop_
_atom_site_label
_atom_site_type_symbol
_atom_site_fract_x
_atom_site_fract_y
_atom_site_fract_z
_atom_site_occupancy
Be1 Be 0.000 0.000 0.000 1
Tc1 Tc 0.000 0.500 0.272 1
Rh1 Rh 0.000 0.000 0.495 1
Rh2 Rh 0.000 0.500 0.709 1
```

Calculated values
Magnetization in μB per atom: 0.00
Energy relative to the elements in meV per atom: -192
Raw total energy in eV per atom: -7.391
Density of states at the Fermi level in states/eV/cell: 4.9


No. 7
BeTc2Rh | PBE | relaxed

```
data_BeTc2Rh
_cell_length_a 3.706
_cell_length_b 3.706
_cell_length_c 7.727
_cell_angle_alpha 90.00
_cell_angle_beta 90.00
_cell_angle_gamma 90.00
_space_group_name_H-M_alt 'I -4 m 2'
_space_group_IT_number 119
_space_group_name_Hall 'I -4 -2'
loop_
_atom_site_label
_atom_site_type_symbol
_atom_site_fract_x
_atom_site_fract_y
_atom_site_fract_z
_atom_site_occupancy
Be1 Be 0.000 0.000 0.000 1
Tc1 Tc 0.000 0.000 0.500 1
Tc2 Tc 0.000 0.500 0.250 1
Rh1 Rh 0.000 0.500 0.750 1
```

Calculated values
Magnetization in μB per atom: 0.00
Energy relative to the elements in meV per atom: 9
Raw total energy in eV per atom: -7.943
Density of states at the Fermi level in states/eV/cell: 7.8


No. 8
BeTcRh2 | PBE | relaxed

```
data_BeTcRh2
_cell_length_a 2.715
_cell_length_b 3.930
_cell_length_c 5.086
_cell_angle_alpha 90.00
_cell_angle_beta 105.16
_cell_angle_gamma 90.00
_space_group_name_H-M_alt 'P 1 m 1'
_space_group_IT_number 6
loop_
_space_group_symop_operation_xyz
'x,y,z'
'x,-y,z'
loop_
_atom_site_label
_atom_site_type_symbol
_atom_site_fract_x
_atom_site_fract_y
_atom_site_fract_z
_atom_site_occupancy
Be1 Be 0.000 0.000 0.000 1
Tc1 Tc 0.398 0.500 0.770 1
Rh1 Rh 0.133 0.500 0.232 1
Rh2 Rh 0.777 0.000 0.524 1
```

Calculated values
Magnetization in μB per atom: 0.00
Energy relative to the elements in meV per atom: -118
Raw total energy in eV per atom: -7.317
Density of states at the Fermi level in states/eV/cell: 3.4


No. 9
BeTcRh | PBE | relaxed

```
data_BeTcRh
_cell_length_a 3.513
_cell_length_b 3.513
_cell_length_c 6.238
_cell_angle_alpha 90.00
_cell_angle_beta 90.00
_cell_angle_gamma 90.00
_space_group_name_H-M_alt 'P 4/n m m'
_space_group_IT_number 129
loop_
_space_group_symop_operation_xyz
'x,y,z'
'-x,-y,-z'
'-y+1/2,x,z'
'y+1/2,-x,-z'
'-x+1/2,-y+1/2,z'
'x+1/2,y+1/2,-z'
'y,-x+1/2,z'
'-y,x+1/2,-z'
'x+1/2,-y,-z'
'-x+1/2,y,z'
'-y,-x,-z'
'y,x,z'
'-x,y+1/2,-z'
'x,-y+1/2,z'
'y+1/2,x+1/2,-z'
'-y+1/2,-x+1/2,z'
loop_
_atom_site_label
_atom_site_type_symbol
_atom_site_fract_x
_atom_site_fract_y
_atom_site_fract_z
_atom_site_occupancy
Be1 Be 0.250 0.250 0.195 1
Tc1 Tc 0.250 0.750 0.500 1
Rh1 Rh 0.250 0.250 0.838 1
```

Calculated values
Polymorph energy (0 for the lowest one) in eV per atom: 0.181
Magnetization in μB per atom: 0.00
Energy relative to the elements in meV per atom: -130
Raw total energy in eV per atom: -7.277
Density of states at the Fermi level in states/eV/cell: 3.5


No. 10
BeTcRh | PBE | relaxed

```
data_BeTcRh
_cell_length_a 2.947
_cell_length_b 12.607
_cell_length_c 4.044
_cell_angle_alpha 90.00
_cell_angle_beta 90.00
_cell_angle_gamma 90.00
_space_group_name_H-M_alt 'A m m 2'
_space_group_IT_number 38
loop_
_space_group_symop_operation_xyz
'x,y,z'
'-x,-y,z'
'-x,y,z'
'x,-y,z'
'x,y+1/2,z+1/2'
'-x,-y+1/2,z+1/2'
'-x,y+1/2,z+1/2'
'x,-y+1/2,z+1/2'
loop_
_atom_site_label
_atom_site_type_symbol
_atom_site_fract_x
_atom_site_fract_y
_atom_site_fract_z
_atom_site_occupancy
Be1 Be 0.000 0.165 0.000 1
Tc1 Tc 0.000 0.000 0.497 1
Tc2 Tc 0.500 0.000 0.998 1
Rh1 Rh 0.500 0.176 0.500 1
```

Calculated values
Polymorph energy (0 for the lowest one) in eV per atom: 0.121
Magnetization in μB per atom: 0.00
Energy relative to the elements in meV per atom: -189
Raw total energy in eV per atom: -7.337
Density of states at the Fermi level in states/eV/cell: 8.2


No. 11
Be4TcRh | PBE | relaxed

```
data_Be4TcRh
_cell_length_a 6.180
_cell_length_b 6.180
_cell_length_c 6.180
_cell_angle_alpha 90.00
_cell_angle_beta 90.00
_cell_angle_gamma 90.00
_space_group_name_H-M_alt 'F -4 3 m'
_space_group_IT_number 216
_space_group_name_Hall 'F -4 2 3'
loop_
_atom_site_label
_atom_site_type_symbol
_atom_site_fract_x
_atom_site_fract_y
_atom_site_fract_z
_atom_site_occupancy
Be1 Be 0.123 0.123 0.377 1
Tc1 Tc 0.250 0.250 0.750 1
Rh1 Rh 0.000 0.000 0.000 1
```

Calculated values
Magnetization in μB per atom: 0.18
Energy relative to the elements in meV per atom: -343
Raw total energy in eV per atom: -5.780
Density of states at the Fermi level in states/eV/cell: 15.1


No. 12
BeTcRh2 | PBE | relaxed

```
data_BeTcRh2
_cell_length_a 2.7493
_cell_length_b 2.7493
_cell_length_c 23.6848
_cell_angle_alpha 90.00
_cell_angle_beta 90.00
_cell_angle_gamma 120.00
_space_group_name_H-M_alt 'R -3 m'
_space_group_IT_number 166
_space_group_name_Hall '-R 3 2"'
loop_
_atom_site_label
_atom_site_type_symbol
_atom_site_fract_x
_atom_site_fract_y
_atom_site_fract_z
_atom_site_occupancy
Be1 Be 0.0000 0.0000 0.0000 1
Tc1 Tc 0.0000 0.0000 0.5000 1
Rh1 Rh 0.0000 0.0000 0.2586 1
```

Calculated values
Magnetization in μB per atom: 0.00
Energy relative to the elements in meV per atom: -155
Raw total energy in eV per atom: -7.354
Density of states at the Fermi level in states/eV/cell: 9.3


Which value of raw total energy does entry 4 give?
-7.305 eV per atom


Among the records above, which one has the highest energy relative to the elements?
number 5


What is the raw total energy in the third record?
-8.067 eV per atom